# 1
SrNbCr2Ag, relaxed, DFT PBE; DFT formation energy = 6.5 eV/f.u.; Fermi-level density of states = 4.458 states/eV/f.u.; total DFT energy (no corrections) = -5.479 eV per atom; space group = P4/mmm
1.0
-4.552 -1.137 -0.861
1.521 -5.675 -0.547
-0.722 -0.644 4.670
Cr Nb Sr Ag
2 1 1 1
direct
0.500 0.000 0.000
0.000 0.000 0.500
0.000 0.000 0.000
0.000 0.500 0.000
0.500 0.500 0.500

# 2
CaNbCu, relaxed, DFT PBE; polymorph energy (0 for the lowest one) = 0.205 eV/atom; DFT formation energy = 1.1 eV/f.u.; Fermi-level density of states = 3.056 states/eV/f.u.; total DFT energy (no corrections) = -5.032 eV per atom; space group = P4/mmm
1.0
-3.611 -1.979 1.743
2.824 0.878 1.112
-4.586 10.989 2.973
Cu Ca Nb
2 2 2
direct
0.194 0.389 0.500
0.694 0.389 0.000
0.695 0.389 0.667
0.695 0.389 0.333
0.194 0.389 0.127
0.194 0.389 0.873